# SrReCl6, relaxed, DFT PBE-GGA
# ΔE_f (raw): -1.2667 eV/atom
# E: -0.3247 Ry/atom
# total moment: 3.00 μB per formula unit
data_SrReCl6
_chemical_formula_sum 'Sr3 Re3 Cl18'
_cell_length_a 6.5821
_cell_length_b 6.5821
_cell_length_c 18.1371
_cell_angle_alpha 90.00
_cell_angle_beta 90.00
_cell_angle_gamma 120.00
_symmetry_space_group_name_H-M 'R -3'
_symmetry_Int_Tables_number 148
_symmetry_space_group_name_Hall '-R 3'
loop_
_atom_site_label
_atom_site_type_symbol
_atom_site_fract_x
_atom_site_fract_y
_atom_site_fract_z
_atom_site_occupancy
Sr1 Sr 0.0000 0.0000 0.0000 1
Re1 Re 0.0000 0.0000 0.5000 1
Cl1 Cl 0.0254 0.3848 0.0915 1

# SmY2In3Se6, relaxed, DFT PBE-GGA
# ΔE_f (raw): -1.3049 eV/atom
# E: -0.3824 Ry/atom
# total moment: 0.00 μB per formula unit
data_SmY2In3Se6
_chemical_formula_sum 'Sm2 Y4 In6 Se12'
_cell_length_a 7.243
_cell_length_b 12.542
_cell_length_c 8.101
_cell_angle_alpha 90.00
_cell_angle_beta 107.34
_cell_angle_gamma 90.00
_symmetry_space_group_name_H-M 'C 1 2/m 1'
_symmetry_Int_Tables_number 12
loop_
_symmetry_equiv_pos_as_xyz
'x,y,z'
'-x,-y,-z'
'-x,y,-z'
'x,-y,z'
'x+1/2,y+1/2,z'
'-x+1/2,-y+1/2,-z'
'-x+1/2,y+1/2,-z'
'x+1/2,-y+1/2,z'
loop_
_atom_site_label
_atom_site_type_symbol
_atom_site_fract_x
_atom_site_fract_y
_atom_site_fract_z
_atom_site_occupancy
Sm1 Sm 0.000 0.000 0.000 1
Y1 Y 0.000 0.333 0.000 1
In1 In 0.000 0.166 0.500 1
In2 In 0.000 0.500 0.500 1
Se1 Se 0.232 0.500 0.209 1
Se2 Se 0.239 0.169 0.211 1

# Ca5Si4Au6, relaxed, DFT PBE-GGA
# ΔE_f (raw): -0.6911 eV/atom
# E: -0.3025 Ry/atom
# total moment: 0.00 μB per formula unit
data_Ca5Si4Au6
_chemical_formula_sum 'Ca20 Si16 Au24'
_cell_length_a 10.588
_cell_length_b 4.492
_cell_length_c 26.668
_cell_angle_alpha 90.00
_cell_angle_beta 97.27
_cell_angle_gamma 90.00
_symmetry_space_group_name_H-M 'C 1 m 1'
_symmetry_Int_Tables_number 8
loop_
_symmetry_equiv_pos_as_xyz
'x,y,z'
'x,-y,z'
'x+1/2,y+1/2,z'
'x+1/2,-y+1/2,z'
loop_
_atom_site_label
_atom_site_type_symbol
_atom_site_fract_x
_atom_site_fract_y
_atom_site_fract_z
_atom_site_occupancy
Ca1 Ca 0.000 0.000 0.000 1
Ca2 Ca 0.039 0.500 0.675 1
Ca3 Ca 0.098 0.500 0.198 1
Ca4 Ca 0.143 0.000 0.874 1
Ca5 Ca 0.190 0.000 0.396 1
Ca6 Ca 0.249 0.500 0.078 1
Ca7 Ca 0.290 0.500 0.593 1
Ca8 Ca 0.345 0.000 0.281 1
Ca9 Ca 0.390 0.000 0.795 1
Ca10 Ca 0.444 0.500 0.479 1
Si1 Si 0.041 0.000 0.288 1
Si2 Si 0.094 0.000 0.751 1
Si3 Si 0.140 0.500 0.485 1
Si4 Si 0.210 0.500 0.958 1
Si5 Si 0.239 0.000 0.682 1
Si6 Si 0.308 0.000 0.164 1
Si7 Si 0.398 0.500 0.358 1
Si8 Si 0.496 0.000 0.555 1
Au1 Au 0.080 0.000 0.596 1
Au2 Au 0.087 0.000 0.119 1
Au3 Au 0.158 0.500 0.313 1
Au4 Au 0.171 0.500 0.787 1
Au5 Au 0.258 0.000 0.509 1
Au6 Au 0.282 0.000 0.990 1
Au7 Au 0.340 0.500 0.880 1
Au8 Au 0.357 0.500 0.707 1
Au9 Au 0.390 0.500 0.202 1
Au10 Au 0.443 0.000 0.086 1
Au11 Au 0.480 0.000 0.399 1
Au12 Au 0.486 0.000 0.917 1

# MnCuP2I, relaxed, DFT PBE-GGA
# ΔE_f (raw): 1.3615 eV/atom
# E: -0.2768 Ry/atom
# total moment: 0.61 μB per formula unit
data_MnCuP2I
_chemical_formula_sum 'Mn1 Cu1 P2 I1'
_cell_length_a 4.353
_cell_length_b 4.353
_cell_length_c 5.717
_cell_angle_alpha 90.00
_cell_angle_beta 90.00
_cell_angle_gamma 90.00
_symmetry_space_group_name_H-M 'P 4/m m m'
_symmetry_Int_Tables_number 123
_symmetry_space_group_name_Hall '-P 4 2'
loop_
_atom_site_label
_atom_site_type_symbol
_atom_site_fract_x
_atom_site_fract_y
_atom_site_fract_z
_atom_site_occupancy
Mn1 Mn 0.000 0.000 0.000 1
Cu1 Cu 0.500 0.500 0.500 1
P1 P 0.000 0.500 0.500 1
I1 I 0.500 0.500 0.000 1

# CrTe2P, relaxed, DFT PBE-GGA
# ΔE_f (raw): 0.2632 eV/atom
# E: -0.3723 Ry/atom
# total moment: 4.63 μB per formula unit
data_CrTe2P
_chemical_formula_sum 'Cr2 Te4 P2'
_cell_length_a 7.024
_cell_length_b 4.057
_cell_length_c 7.014
_cell_angle_alpha 90.00
_cell_angle_beta 109.66
_cell_angle_gamma 90.00
_symmetry_space_group_name_H-M 'C 1 2/m 1'
_symmetry_Int_Tables_number 12
loop_
_symmetry_equiv_pos_as_xyz
'x,y,z'
'-x,-y,-z'
'-x,y,-z'
'x,-y,z'
'x+1/2,y+1/2,z'
'-x+1/2,-y+1/2,-z'
'-x+1/2,y+1/2,-z'
'x+1/2,-y+1/2,z'
loop_
_atom_site_label
_atom_site_type_symbol
_atom_site_fract_x
_atom_site_fract_y
_atom_site_fract_z
_atom_site_occupancy
Cr1 Cr 0.000 0.000 0.000 1
Te1 Te 0.249 0.500 0.245 1
P1 P 0.000 0.500 0.500 1

# Li5TmAu6, relaxed, DFT PBE-GGA
# DFT formation energy: -0.60 eV per atom
# E: -0.2504 Ry/atom
# total moment: 0.00 μB per formula unit
data_Li5TmAu6
_chemical_formula_sum 'Li10 Tm2 Au12'
_cell_length_a 4.609
_cell_length_b 6.446
_cell_length_c 13.691
_cell_angle_alpha 90.00
_cell_angle_beta 90.00
_cell_angle_gamma 90.00
_symmetry_space_group_name_H-M 'I m m m'
_symmetry_Int_Tables_number 71
_symmetry_space_group_name_Hall '-I 2 2'
loop_
_atom_site_label
_atom_site_type_symbol
_atom_site_fract_x
_atom_site_fract_y
_atom_site_fract_z
_atom_site_occupancy
Li1 Li 0.000 0.000 0.000 1
Li2 Li 0.000 0.000 0.336 1
Li3 Li 0.000 0.500 0.331 1
Tm1 Tm 0.000 0.500 0.000 1
Au1 Au 0.000 0.239 0.173 1
Au2 Au 0.000 0.272 0.500 1

# LiTbPrRu, relaxed, DFT PBE-GGA
# DFT formation energy: -0.18 eV per atom
# E: -0.3917 Ry/atom
# total moment: 0.00 μB per formula unit
data_LiTbPrRu
_chemical_formula_sum 'Li4 Tb4 Pr4 Ru4'
_cell_length_a 7.102
_cell_length_b 7.102
_cell_length_c 7.102
_cell_angle_alpha 90.00
_cell_angle_beta 90.00
_cell_angle_gamma 90.00
_symmetry_space_group_name_H-M 'F -4 3 m'
_symmetry_Int_Tables_number 216
_symmetry_space_group_name_Hall 'F -4 2 3'
loop_
_atom_site_label
_atom_site_type_symbol
_atom_site_fract_x
_atom_site_fract_y
_atom_site_fract_z
_atom_site_occupancy
Li1 Li 0.000 0.000 0.000 1
Tb1 Tb 0.250 0.250 0.250 1
Pr1 Pr 0.250 0.250 0.750 1
Ru1 Ru 0.000 0.000 0.500 1

# NaLiB2H6, relaxed, DFT PBE-GGA
# E: -0.2732 Ry/atom
# total moment: 0.00 μB per formula unit
data_NaLiB2H6
_chemical_formula_sum 'Na3 Li3 B6 H18'
_cell_length_a 4.0670
_cell_length_b 4.0670
_cell_length_c 18.0076
_cell_angle_alpha 90.00
_cell_angle_beta 90.00
_cell_angle_gamma 120.00
_symmetry_space_group_name_H-M 'R -3'
_symmetry_Int_Tables_number 148
_symmetry_space_group_name_Hall '-R 3'
loop_
_atom_site_label
_atom_site_type_symbol
_atom_site_fract_x
_atom_site_fract_y
_atom_site_fract_z
_atom_site_occupancy
Na1 Na 0.0000 0.0000 0.0000 1
Li1 Li 0.0000 0.0000 0.5000 1
B1 B 0.0000 0.0000 0.2373 1
H1 H 0.0024 0.5046 0.9218 1

# La8PmRu2, relaxed, DFT PBE-GGA
# DFT formation energy: -0.06 eV per atom
# E: -0.4236 Ry/atom
# total moment: 0.00 μB per formula unit
data_La8PmRu2
_chemical_formula_sum 'La16 Pm2 Ru4'
_cell_length_a 12.880
_cell_length_b 8.668
_cell_length_c 7.471
_cell_angle_alpha 90.00
_cell_angle_beta 110.95
_cell_angle_gamma 90.00
_symmetry_space_group_name_H-M 'C 1 2/m 1'
_symmetry_Int_Tables_number 12
loop_
_symmetry_equiv_pos_as_xyz
'x,y,z'
'-x,-y,-z'
'-x,y,-z'
'x,-y,z'
'x+1/2,y+1/2,z'
'-x+1/2,-y+1/2,-z'
'-x+1/2,y+1/2,-z'
'x+1/2,-y+1/2,z'
loop_
_atom_site_label
_atom_site_type_symbol
_atom_site_fract_x
_atom_site_fract_y
_atom_site_fract_z
_atom_site_occupancy
La1 La 0.116 0.198 0.302 1
La2 La 0.123 0.500 0.693 1
La3 La 0.172 0.000 0.811 1
Pm1 Pm 0.000 0.500 0.000 1
Ru1 Ru 0.195 0.500 0.397 1

# Al2Hg2Pb, relaxed, DFT PBE-GGA
# DFT formation energy: 0.17 eV per atom
# E: -0.1607 Ry/atom
# energy above the most stable polymorph in this dataset: 0.030 eV/atom
# total moment: 0.00 μB per formula unit
data_Al2Hg2Pb
_chemical_formula_sum 'Al4 Hg4 Pb2'
_cell_length_a 8.237
_cell_length_b 8.237
_cell_length_c 3.438
_cell_angle_alpha 90.00
_cell_angle_beta 90.00
_cell_angle_gamma 90.00
_symmetry_space_group_name_H-M 'P 4/m b m'
_symmetry_Int_Tables_number 127
_symmetry_space_group_name_Hall '-P 4 2ab'
loop_
_atom_site_label
_atom_site_type_symbol
_atom_site_fract_x
_atom_site_fract_y
_atom_site_fract_z
_atom_site_occupancy
Al1 Al 0.121 0.379 0.000 1
Hg1 Hg 0.172 0.672 0.500 1
Pb1 Pb 0.000 0.000 0.000 1

# Tl6BiPb2, relaxed, DFT PBE-GGA
# DFT formation energy: 0.11 eV per atom
# E: -0.2000 Ry/atom
# energy above the most stable polymorph in this dataset: 0.090 eV/atom
# total moment: 0.00 μB per formula unit
data_Tl6BiPb2
_chemical_formula_sum 'Tl12 Bi2 Pb4'
_cell_length_a 7.702
_cell_length_b 10.059
_cell_length_c 8.551
_cell_angle_alpha 90.00
_cell_angle_beta 95.69
_cell_angle_gamma 90.00
_symmetry_space_group_name_H-M 'C 1 2/m 1'
_symmetry_Int_Tables_number 12
loop_
_symmetry_equiv_pos_as_xyz
'x,y,z'
'-x,-y,-z'
'-x,y,-z'
'x,-y,z'
'x+1/2,y+1/2,z'
'-x+1/2,-y+1/2,-z'
'-x+1/2,y+1/2,-z'
'x+1/2,-y+1/2,z'
loop_
_atom_site_label
_atom_site_type_symbol
_atom_site_fract_x
_atom_site_fract_y
_atom_site_fract_z
_atom_site_occupancy
Tl1 Tl 0.104 0.000 0.342 1
Tl2 Tl 0.249 0.304 0.299 1
Bi1 Bi 0.000 0.500 0.500 1
Pb1 Pb 0.000 0.160 0.000 1

# CeMg5, relaxed, DFT PBE-GGA
# DFT formation energy: -0.01 eV per atom
# E: -0.1712 Ry/atom
# total moment: 0.37 μB per formula unit
data_CeMg5
_chemical_formula_sum 'Ce1 Mg5'
_cell_length_a 3.1655
_cell_length_b 3.1655
_cell_length_c 16.2763
_cell_angle_alpha 90.00
_cell_angle_beta 90.00
_cell_angle_gamma 120.00
_symmetry_space_group_name_H-M 'P -6 m 2'
_symmetry_Int_Tables_number 187
_symmetry_space_group_name_Hall 'P -6 2'
loop_
_atom_site_label
_atom_site_type_symbol
_atom_site_fract_x
_atom_site_fract_y
_atom_site_fract_z
_atom_site_occupancy
Ce1 Ce 0.0000 0.0000 0.0000 1
Mg1 Mg 0.0000 0.0000 0.3396 1
Mg2 Mg 0.3333 0.6667 0.1793 1
Mg3 Mg 0.3333 0.6667 0.5000 1

# YEr12Tm5, relaxed, DFT PBE-GGA
# DFT formation energy: 0.01 eV per atom
# E: -0.3403 Ry/atom
# total moment: 0.00 μB per formula unit
data_YEr12Tm5
_chemical_formula_sum 'Y2 Er24 Tm10'
_cell_length_a 6.094
_cell_length_b 10.551
_cell_length_c 17.162
_cell_angle_alpha 90.00
_cell_angle_beta 96.81
_cell_angle_gamma 90.00
_symmetry_space_group_name_H-M 'C 1 2/m 1'
_symmetry_Int_Tables_number 12
loop_
_symmetry_equiv_pos_as_xyz
'x,y,z'
'-x,-y,-z'
'-x,y,-z'
'x,-y,z'
'x+1/2,y+1/2,z'
'-x+1/2,-y+1/2,-z'
'-x+1/2,y+1/2,-z'
'x+1/2,-y+1/2,z'
loop_
_atom_site_label
_atom_site_type_symbol
_atom_site_fract_x
_atom_site_fract_y
_atom_site_fract_z
_atom_site_occupancy
Y1 Y 0.000 0.000 0.000 1
Er1 Er 0.111 0.000 0.333 1
Er2 Er 0.112 0.333 0.333 1
Er3 Er 0.222 0.500 0.167 1
Er4 Er 0.224 0.167 0.167 1
Tm1 Tm 0.000 0.167 0.500 1
Tm2 Tm 0.000 0.333 0.000 1
Tm3 Tm 0.000 0.500 0.500 1

# Nb3ZnTe, relaxed, DFT PBE-GGA
# ΔE_f (raw): 1.4414 eV/atom
# E: -0.4030 Ry/atom
# energy above the most stable polymorph in this dataset: 0.397 eV/atom
# total moment: 0.00 μB per formula unit
data_Nb3ZnTe
_chemical_formula_sum 'Nb3 Zn1 Te1'
_cell_length_a 5.026
_cell_length_b 5.026
_cell_length_c 5.026
_cell_angle_alpha 90.00
_cell_angle_beta 90.00
_cell_angle_gamma 90.00
_symmetry_space_group_name_H-M 'P m -3 m'
_symmetry_Int_Tables_number 221
_symmetry_space_group_name_Hall '-P 4 2 3'
loop_
_atom_site_label
_atom_site_type_symbol
_atom_site_fract_x
_atom_site_fract_y
_atom_site_fract_z
_atom_site_occupancy
Nb1 Nb 0.000 0.000 0.500 1
Zn1 Zn 0.500 0.500 0.500 1
Te1 Te 0.000 0.000 0.000 1

# Pr8Pt3Se4Cl, relaxed, DFT PBE-GGA
# ΔE_f (raw): -1.4985 eV/atom
# E: -0.4415 Ry/atom
# total moment: 0.00 μB per formula unit
data_Pr8Pt3Se4Cl
_chemical_formula_sum 'Pr24 Pt9 Se12 Cl3'
_cell_length_a 8.3904
_cell_length_b 8.3904
_cell_length_c 21.7021
_cell_angle_alpha 90.00
_cell_angle_beta 90.00
_cell_angle_gamma 120.00
_symmetry_space_group_name_H-M 'R -3 m'
_symmetry_Int_Tables_number 166
_symmetry_space_group_name_Hall '-R 3 2"'
loop_
_atom_site_label
_atom_site_type_symbol
_atom_site_fract_x
_atom_site_fract_y
_atom_site_fract_z
_atom_site_occupancy
Pr1 Pr 0.0000 0.0000 0.2429 1
Pr2 Pr 0.0087 0.5043 0.7519 1
Pt1 Pt 0.0000 0.5000 0.5000 1
Se1 Se 0.0000 0.0000 0.0000 1
Se2 Se 0.0000 0.5000 0.0000 1
Cl1 Cl 0.0000 0.0000 0.5000 1

# Ta2RuSe, relaxed, DFT PBE-GGA
# ΔE_f (raw): 0.0089 eV/atom
# E: -0.6694 Ry/atom
# total moment: 0.00 μB per formula unit
data_Ta2RuSe
_chemical_formula_sum 'Ta2 Ru1 Se1'
_cell_length_a 3.244
_cell_length_b 4.313
_cell_length_c 4.740
_cell_angle_alpha 90.00
_cell_angle_beta 90.00
_cell_angle_gamma 90.00
_symmetry_space_group_name_H-M 'P m m m'
_symmetry_Int_Tables_number 47
loop_
_symmetry_equiv_pos_as_xyz
'x,y,z'
'-x,-y,-z'
'-x,-y,z'
'x,y,-z'
'x,-y,-z'
'-x,y,z'
'-x,y,-z'
'x,-y,z'
loop_
_atom_site_label
_atom_site_type_symbol
_atom_site_fract_x
_atom_site_fract_y
_atom_site_fract_z
_atom_site_occupancy
Ta1 Ta 0.000 0.000 0.000 1
Ta2 Ta 0.500 0.000 0.500 1
Ru1 Ru 0.000 0.500 0.500 1
Se1 Se 0.500 0.500 0.000 1

# Ga2Sb2Au, relaxed, DFT PBE-GGA
# ΔE_f (raw): 0.0991 eV/atom
# E: -0.2511 Ry/atom
# energy above the most stable polymorph in this dataset: 0.000 eV/atom
# total moment: 0.00 μB per formula unit
data_Ga2Sb2Au
_chemical_formula_sum 'Ga4 Sb4 Au2'
_cell_length_a 7.057
_cell_length_b 7.057
_cell_length_c 4.547
_cell_angle_alpha 90.00
_cell_angle_beta 90.00
_cell_angle_gamma 90.00
_symmetry_space_group_name_H-M 'P 4/m b m'
_symmetry_Int_Tables_number 127
_symmetry_space_group_name_Hall '-P 4 2ab'
loop_
_atom_site_label
_atom_site_type_symbol
_atom_site_fract_x
_atom_site_fract_y
_atom_site_fract_z
_atom_site_occupancy
Ga1 Ga 0.127 0.373 0.000 1
Sb1 Sb 0.209 0.709 0.500 1
Au1 Au 0.000 0.000 0.000 1

# SrZr3O, relaxed, DFT PBE-GGA
# ΔE_f (raw): 2.2902 eV/atom
# E: -0.3062 Ry/atom
# energy above the most stable polymorph in this dataset: 2.873 eV/atom
# total moment: 0.00 μB per formula unit
data_SrZr3O
_chemical_formula_sum 'Sr1 Zr3 O1'
_cell_length_a 5.133
_cell_length_b 5.133
_cell_length_c 5.133
_cell_angle_alpha 90.00
_cell_angle_beta 90.00
_cell_angle_gamma 90.00
_symmetry_space_group_name_H-M 'P m -3 m'
_symmetry_Int_Tables_number 221
_symmetry_space_group_name_Hall '-P 4 2 3'
loop_
_atom_site_label
_atom_site_type_symbol
_atom_site_fract_x
_atom_site_fract_y
_atom_site_fract_z
_atom_site_occupancy
Sr1 Sr 0.000 0.000 0.000 1
Zr1 Zr 0.000 0.000 0.500 1
O1 O 0.500 0.500 0.500 1

# YHo2Er2Th, relaxed, DFT PBE-GGA
# DFT formation energy: 0.17 eV per atom
# E: -0.3812 Ry/atom
# total moment: 0.00 μB per formula unit
data_YHo2Er2Th
_chemical_formula_sum 'Y2 Ho4 Er4 Th2'
_cell_length_a 6.513
_cell_length_b 6.686
_cell_length_c 8.863
_cell_angle_alpha 90.00
_cell_angle_beta 98.02
_cell_angle_gamma 90.00
_symmetry_space_group_name_H-M 'P 1 21/m 1'
_symmetry_Int_Tables_number 11
loop_
_symmetry_equiv_pos_as_xyz
'x,y,z'
'-x,-y,-z'
'-x,y+1/2,-z'
'x,-y+1/2,z'
loop_
_atom_site_label
_atom_site_type_symbol
_atom_site_fract_x
_atom_site_fract_y
_atom_site_fract_z
_atom_site_occupancy
Y1 Y 0.187 0.250 0.166 1
Ho1 Ho 0.314 0.002 0.840 1
Er1 Er 0.084 0.750 0.519 1
Er2 Er 0.183 0.750 0.160 1
Th1 Th 0.430 0.250 0.527 1

# Rb4Pm3ScS8, relaxed, DFT PBE-GGA
# ΔE_f (raw): -1.7877 eV/atom
# E: -0.3954 Ry/atom
# total moment: 0.00 μB per formula unit
data_Rb4Pm3ScS8
_chemical_formula_sum 'Rb12 Pm9 Sc3 S24'
_cell_length_a 8.2332
_cell_length_b 8.2332
_cell_length_c 23.0821
_cell_angle_alpha 90.00
_cell_angle_beta 90.00
_cell_angle_gamma 120.00
_symmetry_space_group_name_H-M 'R -3 m'
_symmetry_Int_Tables_number 166
_symmetry_space_group_name_Hall '-R 3 2"'
loop_
_atom_site_label
_atom_site_type_symbol
_atom_site_fract_x
_atom_site_fract_y
_atom_site_fract_z
_atom_site_occupancy
Rb1 Rb 0.0000 0.0000 0.0000 1
Rb2 Rb 0.0000 0.5000 0.0000 1
Pm1 Pm 0.0000 0.5000 0.5000 1
Sc1 Sc 0.0000 0.0000 0.5000 1
S1 S 0.0000 0.0000 0.2329 1
S2 S 0.0164 0.5082 0.2302 1